one) ! Sr2AlGaW2O7 (PBE+U, relaxed); values from VASP
! M_tot (μB/f.u.): 4.02
! Volume (Å³/atom): 14.34
&SYSTEM
  ibrav = 0, nat = 26, ntyp = 5
/
ATOMIC_SPECIES
Sr 87.62 Sr.upf
Al 26.98 Al.upf
Ga 69.72 Ga.upf
W 183.84 W.upf
O 16.00 O.upf
CELL_PARAMETERS angstrom
5.479 0.000 0.000
0.012 6.097 0.000
2.711 2.943 11.164
ATOMIC_POSITIONS crystal
Sr 0.000 0.000 0.000
Sr 0.174 0.184 0.624
Sr 0.496 0.443 0.004
Sr 0.673 0.615 0.630
Al 0.369 0.309 0.312
Al 0.794 0.830 0.328
Ga 0.068 0.636 0.809
Ga 0.564 0.988 0.817
W 0.282 0.754 0.444
W 0.427 0.852 0.180
W 0.785 0.268 0.428
W 0.894 0.357 0.193
O 0.040 0.002 0.209
O 0.075 0.415 0.945
O 0.141 0.097 0.426
O 0.179 0.589 0.655
O 0.231 0.911 0.808
O 0.246 0.517 0.199
O 0.428 0.424 0.439
O 0.521 0.040 0.968
O 0.552 0.183 0.190
O 0.620 0.930 0.460
O 0.698 0.201 0.674
O 0.729 0.714 0.813
O 0.748 0.665 0.124
O 0.934 0.604 0.425

two) ! Sr2AlGaW2O7 (PBE+U, relaxed); values from VASP
! M_tot (μB/f.u.): 5.99
! Volume (Å³/atom): 14.70
&SYSTEM
  ibrav = 0, nat = 26, ntyp = 5
/
ATOMIC_SPECIES
Sr 87.62 Sr.upf
Al 26.98 Al.upf
Ga 69.72 Ga.upf
W 183.84 W.upf
O 16.00 O.upf
CELL_PARAMETERS angstrom
5.571 0.000 0.000
-0.168 6.193 0.000
-2.537 -2.984 11.075
ATOMIC_POSITIONS crystal
Sr 0.000 0.000 0.000
Sr 0.178 0.207 0.363
Sr 0.460 0.457 0.992
Sr 0.675 0.634 0.366
Al 0.347 0.293 0.655
Al 0.978 0.951 0.704
Ga 0.101 0.642 0.180
Ga 0.613 0.994 0.179
W 0.243 0.730 0.544
W 0.432 0.880 0.827
W 0.733 0.247 0.540
W 0.883 0.418 0.824
O 0.005 0.420 0.037
O 0.096 0.410 0.566
O 0.110 0.584 0.330
O 0.161 0.690 0.876
O 0.209 0.208 0.773
O 0.385 0.055 0.532
O 0.435 0.732 0.183
O 0.503 0.080 0.037
O 0.523 0.518 0.514
O 0.647 0.197 0.330
O 0.672 0.669 0.894
O 0.768 0.049 0.799
O 0.902 0.927 0.546
O 0.941 0.909 0.185

Ranking the structures above from most stable to least stable yields one), two).